A plane-wave DFT calculation with GGA-PBE was carried out for RbAc2AlO5 after structural relaxation.

Values from the calculation:
- final energy (eV/atom) = -7.1013
- DOS(E_F) (states/eV per atom) = 0.0000

a b c (Å): 7.2736 7.2736 11.2793
angles (deg): 90.00 90.00 90.00
Space group I4/mcm (No. 140)
One atom of each set of equivalent atoms:
Rb 0.0000 0.0000 0.2500
Ac 0.1862 0.3138 0.0000
Al 0.0000 0.5000 0.2500
O 0.0000 0.0000 0.0000
O 0.1283 0.3717 0.3582